Entry 1:
Entry from Alexandria: a geometry-optimized YTlHgAu structure (PBE).

Output
**Crystal system**: cubic
**Energy of formation**: -0.414 eV per atom
**Total moment**: 0.00 μB per cell
**Space-group type**: F-43m

a = 5.116 Å, b = 5.116 Å, c = 5.116 Å
α = 60.00°, β = 60.00°, γ = 60.00°
Atoms (fractional coordinates):
Tl (0.250, 0.250, 0.250)
Hg (0.500, 0.500, 0.500)
Au (0.000, 0.000, 0.000)
Y (0.750, 0.750, 0.750)


Entry 2:
Entry from Alexandria: a geometry-optimized LiAsHOs structure (PBE).

Output
**Crystal system**: monoclinic
**E_tot**: -21.54 eV/f.u.
**Total moment**: 0.00 μB per cell
**Space-group type**: Pm

a = 2.966 Å, b = 3.078 Å, c = 5.977 Å
α = 90.00°, β = 104.06°, γ = 90.00°
Atoms (fractional coordinates):
Li (0.601, 0.500, 0.095)
Os (0.924, 0.000, 0.739)
H (0.515, 0.000, 0.923)
As (0.308, 0.500, 0.503)